4
Lattice="-2.153 1.331 1.651 -0.187 -3.808 2.825 4.554 3.183 0.607" Properties=species:S:1:pos:R:3 comment="MnAlCd2 (SCAN, PBEsol geometry)" crystal_system=orthorhombic e_tot_ev_per_atom=-21.660 formation_enthalpy_0k_mev_per_atom=48.9 magnetic_moment_mub_per_cell=3.3 dos_at_fermi_per_ev_cell=1.91 sg=Imm2 pbc="T T T"
Mn -1.087 -1.191 2.307
Al 1.413 -1.039 2.679
Cd 2.173 0.682 5.049
Cd 0.760 1.720 2.369

4
Lattice="-0.835 3.264 -3.270 -3.614 1.609 2.529 5.454 0.892 2.868" Properties=species:S:1:pos:R:3 comment="TlInTe2 (SCAN, PBEsol geometry)" crystal_system=tetragonal e_tot_ev_per_atom=-45.082 magnetic_moment_mub_per_cell=0.0 dos_at_fermi_per_ev_cell=1.38 sg=I4/mmm raw_formation_energy_ev_per_atom=-0.0200 pbc="T T T"
In 0.000 0.000 0.000
Te 1.197 3.296 -0.387
Te -0.192 2.469 2.513
Tl -2.224 2.437 -0.371

4
Lattice="4.018 0.000 0.000 0.000 4.018 0.000 0.000 0.000 7.601" Properties=species:S:1:pos:R:3 comment="BaCaCl2 (SCAN, PBEsol geometry)" crystal_system=tetragonal e_tot_ev_per_atom=-18.213 relative_energy_mev_per_atom=0 magnetic_moment_mub_per_cell=0.0 dos_at_fermi_per_ev_cell=0.97 sg=P4mm raw_formation_energy_ev_per_atom=-1.9203 pbc="T T T"
Ca 2.009 2.009 6.605
Ba 0.000 0.000 3.168
Cl 0.000 0.000 7.397
Cl 2.009 2.009 1.832

4
Lattice="3.407 0.000 0.000 1.704 2.951 0.000 1.704 0.984 8.728" Properties=species:S:1:pos:R:3 comment="Tl2AgAu (SCAN, PBEsol geometry)" crystal_system=trigonal e_tot_ev_per_atom=-61.171 formation_enthalpy_0k_mev_per_atom=139.0 relative_energy_mev_per_atom=110 magnetic_moment_mub_per_cell=0.0 dos_at_fermi_per_ev_cell=1.56 sg=R-3m pbc="T T T"
Tl 1.704 0.984 2.146
Tl 5.111 2.951 6.582
Au 0.000 0.000 0.000
Ag 3.407 1.967 4.364

4
Lattice="-2.727 0.628 0.453 -1.895 -0.329 -2.082 -3.053 -8.433 2.183" Properties=species:S:1:pos:R:3 comment="MgZn2W (SCAN, PBEsol geometry)" crystal_system=trigonal e_tot_ev_per_atom=-25.192 formation_enthalpy_0k_mev_per_atom=231.3 magnetic_moment_mub_per_cell=0.0 dos_at_fermi_per_ev_cell=1.53 sg=R-3m pbc="T T T"
Mg -3.837 -4.067 0.277
W 0.000 0.000 0.000
Zn -1.907 -1.966 0.117
Zn -5.768 -6.169 0.437

5
Lattice="4.566 0.000 0.000 0.000 4.566 0.000 0.000 0.000 4.566" Properties=species:S:1:pos:R:3 comment="Pd3RhBr (SCAN, PBEsol geometry)" crystal_system=cubic e_tot_ev_per_atom=-29.389 magnetic_moment_mub_per_cell=1.8 dos_at_fermi_per_ev_cell=1.33 sg=Pm-3m raw_formation_energy_ev_per_atom=0.9215 pbc="T T T"
Rh 2.283 2.283 2.283
Br 0.000 0.000 0.000
Pd 0.000 2.283 0.000
Pd 0.000 0.000 2.283
Pd 2.283 0.000 0.000

8
Lattice="5.119 0.000 0.000 2.559 4.433 0.000 2.559 1.478 4.180" Properties=species:S:1:pos:R:3 comment="HfCr2H (SCAN, PBEsol geometry)" crystal_system=cubic e_tot_ev_per_atom=-25.661 magnetic_moment_mub_per_cell=0.8 dos_at_fermi_per_ev_cell=5.65 sg=Fd-3m pbc="T T T"
Cr 2.559 1.478 2.612
Cr 1.280 0.739 0.522
Cr 3.839 0.739 0.522
Cr 2.559 2.955 0.522
Hf 7.678 4.433 3.135
Hf 5.119 2.955 2.090
H 2.559 1.478 1.045
H 0.000 0.000 0.000

8
Lattice="-0.708 -3.739 -1.967 0.560 -2.060 3.714 -6.660 3.473 0.460" Properties=species:S:1:pos:R:3 comment="LiBeP2 (SCAN, PBEsol geometry)" crystal_system=tetragonal e_tot_ev_per_atom=-7.122 formation_enthalpy_0k_mev_per_atom=-236.6 magnetic_moment_mub_per_cell=0.0 dos_at_fermi_per_ev_cell=1.42 sg=I-42d pbc="T T T"
P -1.355 -1.889 2.863
P -2.159 -3.623 -0.449
P -5.080 2.127 0.119
P -5.020 -1.266 1.882
Li -3.721 -1.583 -0.317
Li -0.074 -2.900 0.874
Be -3.087 -0.743 2.524
Be 0.000 0.000 0.000